[1]
The following is a DFT calculation (PBE) of a relaxed ZnSeO5 crystal.

Crystal system: monoclinic
Excess energy over the best structure of this formula in the dataset (eV/atom): 0.476
Spin magnetization (μB/cell): 4.043
Uncorrected formation energy (eV/atom): -0.26

Cell lengths 5.1002, 5.1002, 7.2991 Å; angles 109.83, 109.83, 70.39 degrees
Last column: nearest neighbours and their distance in Å.
Element x y z (fractional)
Zn1 0.0297 0.9703 0.7500  5 O 2.06-2.15
Zn2 0.9703 0.0297 0.2500  5 O 2.06-2.15
Se1 0.5000 0.5000 0.0000  6 O 1.75-1.93
Se2 0.5000 0.5000 0.5000  6 O 1.75-1.93
O1 0.1723 0.7563 0.0299  1 Se 1.77
O2 0.2115 0.3380 0.3774  1 Se 1.75
O3 0.2437 0.8277 0.4701  1 Se 1.77
O4 0.3380 0.2115 0.8774  1 Se 1.75
O5 0.3950 0.6050 0.7500  2 Se 1.93, 1 Zn 2.15
O6 0.6050 0.3950 0.2500  2 Se 1.93, 1 Zn 2.15
O7 0.6620 0.7885 0.1226  1 Se 1.75
O8 0.7563 0.1723 0.5299  1 Se 1.77
O9 0.7885 0.6620 0.6226  1 Se 1.75
O10 0.8277 0.2437 0.9701  1 Se 1.77

[2]
The following is a DFT calculation (PBE) of a relaxed Cr2CuH crystal.

Crystal system: cubic
Excess energy over the best structure of this formula in the dataset (eV/atom): 0.461
Spin magnetization (μB/cell): 0.668

Cell lengths 3.8860, 3.8860, 3.8860 Å; angles 60.00, 60.00, 60.00 degrees
Last column: nearest neighbours and their distance in Å.
Element x y z (fractional)
Cr1 0.2500 0.2500 0.2500  4 H 2.38, 4 Cu 2.38
Cr2 0.7500 0.7500 0.7500  4 H 2.38, 4 Cu 2.38
Cu1 0.0000 0.0000 0.0000  8 Cr 2.38
H1 0.5000 0.5000 0.5000  8 Cr 2.38

[3]
The following is a DFT calculation (PBE) of a relaxed Ac2Zn2SnPd5 crystal.

Crystal system: tetragonal
Spin magnetization (μB/cell): 0.000
Energy relative to the elements (eV per formula unit): -6.46

Cell lengths 10.2631, 10.2631, 3.8590 Å; angles 90.00, 90.00, 90.00 degrees
Last column: nearest neighbours and their distance in Å.
Element x y z (fractional)
Ac1 0.1811 0.3189 0.0000  3 Zn 2.96-3.11, 6 Pd 3.26-3.28
Ac2 0.3189 0.8189 0.0000  3 Zn 2.96-3.11, 6 Pd 3.26-3.28
Ac3 0.6811 0.1811 0.0000  3 Zn 2.96-3.11, 6 Pd 3.26-3.28
Ac4 0.8189 0.6811 0.0000  3 Zn 2.96-3.11, 6 Pd 3.26-3.28
Zn1 0.1149 0.6149 0.0000  6 Pd 2.55-2.67
Zn2 0.3851 0.1149 0.0000  6 Pd 2.55-2.67
Zn3 0.6149 0.8851 0.0000  6 Pd 2.55-2.67
Zn4 0.8851 0.3851 0.0000  6 Pd 2.55-2.67
Sn1 0.0000 0.0000 0.0000  8 Pd 2.99
Sn2 0.5000 0.5000 0.0000  8 Pd 2.99
Pd1 0.0000 0.5000 0.5000  4 Zn 2.55
Pd2 0.0621 0.7869 0.5000  2 Zn 2.67, 2 Sn 2.99
Pd3 0.2131 0.0621 0.5000  2 Zn 2.67, 2 Sn 2.99
Pd4 0.2869 0.5621 0.5000  2 Zn 2.67, 2 Sn 2.99
Pd5 0.4379 0.2869 0.5000  2 Zn 2.67, 2 Sn 2.99
Pd6 0.5000 0.0000 0.5000  4 Zn 2.55
Pd7 0.5621 0.7131 0.5000  2 Zn 2.67, 2 Sn 2.99
Pd8 0.7131 0.4379 0.5000  2 Zn 2.67, 2 Sn 2.99
Pd9 0.7869 0.9379 0.5000  2 Zn 2.67, 2 Sn 2.99
Pd10 0.9379 0.2131 0.5000  2 Zn 2.67, 2 Sn 2.99